Entry 1:
18
Lattice="6.617 0.000 0.000 0.000 6.617 0.000 0.000 0.000 4.489" Properties=species:S:1:pos:R:3 comment="Li2TiVO5, relaxed, DFT PBEsol" formation_energy_uncorrected_ev_per_fu=-22.73 volume_a3_per_atom=10.92 pbc="T T T"
Li 0.000 0.000 0.000
Li 0.000 3.308 0.000
Li 3.308 0.000 0.000
Li 3.308 3.308 0.000
Ti 1.654 4.963 2.244
Ti 4.963 1.654 2.244
V 1.654 1.654 1.739
V 4.963 4.963 2.750
O 0.191 4.963 3.325
O 1.654 1.654 3.389
O 1.654 3.500 1.163
O 1.654 6.425 1.163
O 3.117 4.963 3.325
O 3.500 1.654 1.163
O 4.963 0.191 3.325
O 4.963 3.117 3.325
O 4.963 4.963 1.100
O 6.425 1.654 1.163


Entry 2:
16
Lattice="4.826 0.000 0.000 0.851 4.798 0.000 1.856 1.749 7.399" Properties=species:S:1:pos:R:3 comment="LiTi2V3O10, relaxed, DFT PBEsol" formation_energy_uncorrected_ev_per_fu=-40.81 volume_a3_per_atom=10.71 pbc="T T T"
Li 0.000 0.000 0.000
Ti 4.554 4.889 5.703
Ti 3.255 2.928 0.967
V 1.437 3.859 3.391
V 3.734 5.319 2.670
V 3.616 2.561 4.193
O 2.104 2.185 2.934
O 2.279 4.492 1.730
O 2.987 4.428 4.381
O 3.680 4.373 7.201
O 2.926 1.933 5.624
O 3.751 1.147 1.196
O 4.511 3.491 2.482
O 5.308 5.619 3.815
O 5.944 5.329 6.879
O 5.247 3.264 4.939


Entry 3:
10
Lattice="6.200 -1.455 0.000 6.200 1.455 0.000 -1.357 0.000 5.661" Properties=species:S:1:pos:R:3 comment="LiTiV2O6, relaxed, DFT PBEsol" formation_energy_uncorrected_ev_per_fu=-24.87 volume_a3_per_atom=10.22 pbc="T T T"
Li 0.000 0.000 0.000
Ti 7.334 0.000 4.535
V 3.731 0.000 1.130
V 11.573 0.000 2.817
O 1.117 0.000 3.299
O 2.049 0.000 0.202
O 5.632 0.000 1.493
O 5.303 0.000 4.146
O 9.690 0.000 2.356
O 8.977 0.000 5.448


Entry 4:
16
Lattice="4.552 -4.723 0.000 4.552 4.723 0.000 0.000 0.000 4.536" Properties=species:S:1:pos:R:3 comment="LiTiVO5, relaxed, DFT PBEsol" formation_energy_uncorrected_ev_per_fu=-20.06 volume_a3_per_atom=12.19 pbc="T T T"
Li 2.276 2.362 0.000
Li 2.276 -2.362 0.000
Ti 2.276 0.000 2.268
Ti 6.828 0.000 2.268
V 4.552 2.362 2.825
V 4.552 -2.362 1.711
O 1.285 1.106 1.221
O 3.267 1.106 3.315
O 4.552 2.362 1.206
O 1.285 -1.106 3.315
O 3.267 -1.106 1.221
O 5.837 1.106 3.315
O 7.819 1.106 1.221
O 4.552 -2.362 3.330
O 5.837 -1.106 1.221
O 7.819 -1.106 3.315


Entry 5:
28
Lattice="5.020 -2.901 0.000 5.020 2.901 0.000 -0.049 0.000 9.514" Properties=species:S:1:pos:R:3 comment="Li4Ti5V3O16, relaxed, DFT PBEsol" formation_energy_uncorrected_ev_per_fu=-74.91 volume_a3_per_atom=9.90 pbc="T T T"
Li 0.000 0.000 0.000
Li 0.022 0.000 4.732
Li 3.382 0.000 5.684
Li 6.755 0.000 0.934
Ti 1.764 0.000 2.587
Ti 3.407 0.000 9.514
Ti 5.924 1.417 7.374
Ti 6.770 0.000 4.726
Ti 5.924 -1.417 7.374
V 4.194 1.356 2.661
V 4.194 -1.356 2.661
V 8.269 0.000 7.420
O -0.002 0.000 1.779
O -0.016 0.000 6.517
O 2.627 1.279 1.435
O 4.157 1.444 8.512
O 1.669 0.000 8.524
O 3.344 0.000 3.769
O 5.888 1.430 3.758
O 2.627 -1.279 1.435
O 4.878 0.000 1.421
O 7.434 1.306 6.170
O 5.228 0.000 6.232
O 6.634 0.000 8.524
O 4.157 -1.444 8.512
O 5.888 -1.430 3.758
O 8.393 0.000 3.733
O 7.434 -1.306 6.170


Entry 6:
24
Lattice="5.193 0.000 0.000 0.039 5.688 0.000 2.275 1.449 7.009" Properties=species:S:1:pos:R:3 comment="Li2TiVO4, relaxed, DFT PBEsol" formation_energy_uncorrected_ev_per_fu=-20.05 volume_a3_per_atom=8.63 polymorph_energy_mev_per_atom=0 pbc="T T T"
Li 1.156 2.157 3.483
Li 1.929 3.606 5.827
Li 1.959 6.415 5.830
Li 5.548 0.722 1.179
Li 5.578 3.531 1.182
Li 6.351 4.980 3.526
Ti 3.734 0.725 3.505
Ti 4.509 2.292 5.863
Ti 2.998 4.845 1.146
V 2.939 2.291 1.035
V 3.754 3.568 3.505
V 4.568 4.846 5.974
O 1.240 2.094 0.053
O 2.077 3.543 2.345
O 2.892 2.141 4.651
O 2.954 5.006 4.659
O 3.723 6.421 6.958
O 2.191 0.716 2.295
O 5.316 6.421 4.715
O 3.784 0.716 0.051
O 4.553 2.131 2.350
O 4.615 4.996 2.358
O 5.430 3.594 4.664
O 6.267 5.043 6.956


Entry 7:
16
Lattice="-2.890 2.919 4.111 2.890 -2.919 4.111 2.890 2.919 -4.111" Properties=species:S:1:pos:R:3 comment="Li2TiVO4, relaxed, DFT PBEsol" formation_energy_uncorrected_ev_per_fu=-19.80 volume_a3_per_atom=8.67 polymorph_energy_mev_per_atom=31 pbc="T T T"
Li 0.000 0.000 0.000
Li -1.445 1.460 2.056
Li 0.000 2.919 0.000
Li 1.445 1.460 2.056
Ti 2.890 0.000 0.000
Ti 0.000 0.000 4.111
V 1.445 1.460 -2.056
V 1.445 -1.460 2.056
O 2.890 -0.044 2.017
O 2.890 2.875 -2.017
O 1.494 1.460 -0.015
O 4.286 1.460 -0.015
O -1.396 1.460 4.127
O 1.396 1.460 4.127
O 0.000 0.044 6.128
O 0.000 2.963 2.094


Entry 8:
28
Lattice="5.067 -2.913 0.000 5.067 2.913 0.000 -0.486 0.000 9.340" Properties=species:S:1:pos:R:3 comment="Li4Ti3V3W2O16, relaxed, DFT PBEsol" formation_energy_uncorrected_ev_per_fu=-67.31 volume_a3_per_atom=9.85 pbc="T T T"
Li 0.000 0.000 0.000
Li 9.892 0.000 4.616
Li 2.993 0.000 3.785
Li 6.259 0.000 8.411
Ti 3.898 1.454 6.645
Ti 3.898 -1.454 6.645
Ti 8.393 0.000 1.977
V 1.534 0.000 6.807
V 5.799 1.208 2.180
V 5.799 -1.208 2.180
W 2.731 0.000 9.171
W 6.394 0.000 4.333
O -0.017 0.000 2.869
O -0.261 0.000 7.576
O 2.295 1.474 7.891
O 4.163 1.446 0.912
O 1.714 0.000 0.891
O 3.095 0.000 5.631
O 5.610 1.439 5.573
O 4.425 0.000 7.909
O 4.712 0.000 3.245
O 2.295 -1.474 7.891
O 7.447 1.289 3.216
O 6.672 0.000 0.972
O 4.163 -1.446 0.912
O 5.610 -1.439 5.573
O 8.153 0.000 5.578
O 7.447 -1.289 3.216